[1]
A plane-wave DFT calculation with PBE was carried out for an optimized crystal structure of CeCo2.

The value obtained for the total energy is -6.97 eV per atom. The value obtained for the formation energy is -24 kJ per mole of atoms. The calculated volume is 44.0 Å³/f.u.

It has space group Fd-3m (No. 227, origin choice 2), with a = 7.059 Å, b = 7.059 Å, c = 7.059 Å, α = 90.00°, β = 90.00° and γ = 90.00°. The inequivalent atoms are Ce at (0.125, 0.125, 0.125) and Co at (0.000, 0.000, 0.500).

[2]
A plane-wave DFT calculation with PBE was carried out for an optimized crystal structure of CsRbAuBr.

The value obtained for the total energy is -2.72 eV per atom. As for the formation energy from raw total energies: -1025 meV per atom. The calculated volume is 189.0 Å³/f.u. Its energy above the most stable polymorph in this dataset is 0.0000 eV/atom.

It has space group R3m (No. 160, hexagonal axes), with a = 5.0931 Å, b = 5.0931 Å, c = 25.2437 Å, α = 90.00°, β = 90.00° and γ = 120.00°. The inequivalent atoms are Cs at (0.0000, 0.0000, 0.0000), Rb at (0.0000, 0.0000, 0.5029), Au at (0.0000, 0.0000, 0.7543) and Br at (0.0000, 0.0000, 0.2464).

[3]
A plane-wave DFT calculation with PBE was carried out for an optimized crystal structure of Cu2AuBr.

The value obtained for the total energy is -3.00 eV per atom. As for the formation energy from raw total energies: 284 meV per atom. The calculated volume is 67.1 Å³/f.u. Its energy above the most stable polymorph in this dataset is 0.2593 eV/atom.

It has space group C2/m (No. 12), with a = 6.412 Å, b = 6.437 Å, c = 3.249 Å, α = 90.00°, β = 90.20° and γ = 90.00°. The inequivalent atoms are Cu at (0.250, 0.250, 0.000), Au at (0.000, 0.000, 0.500) and Br at (0.000, 0.500, 0.500).

[4]
A plane-wave DFT calculation with PBE was carried out for an optimized crystal structure of Sb2HIO.

The value obtained for the total energy is -2.86 eV per atom. The calculated volume is 99.5 Å³/f.u. Its energy above the most stable polymorph in this dataset is 0.2144 eV/atom.

It has space group P4/mmm (No. 123), with a = 4.403 Å, b = 4.403 Å, c = 5.135 Å, α = 90.00°, β = 90.00° and γ = 90.00°. The inequivalent atoms are Sb at (0.000, 0.500, 0.000), H at (0.000, 0.000, 0.000), I at (0.000, 0.000, 0.500) and O at (0.500, 0.500, 0.500).

[5]
A plane-wave DFT calculation with PBE was carried out for an optimized crystal structure of Li3MnB.

The value obtained for the total energy is -3.19 eV per atom. The value obtained for the formation energy is 109 kJ per mole of atoms. The calculated volume is 67.5 Å³/f.u. Its energy above the most stable polymorph in this dataset is 0.0000 eV/atom.

It has space group Pm-3m (No. 221), with a = 4.072 Å, b = 4.072 Å, c = 4.072 Å, α = 90.00°, β = 90.00° and γ = 90.00°. The inequivalent atoms are Li at (0.000, 0.000, 0.500), Mn at (0.500, 0.500, 0.500) and B at (0.000, 0.000, 0.000).

[6]
A plane-wave DFT calculation with PBE was carried out for an optimized crystal structure of Ca2AcTbS4.

The value obtained for the total energy is -5.68 eV per atom. As for the formation energy from raw total energies: -2019 meV per atom. The calculated volume is 192.7 Å³/f.u.

It has space group P2/m (No. 10), with a = 7.054 Å, b = 4.062 Å, c = 7.120 Å, α = 90.00°, β = 109.14° and γ = 90.00°. The inequivalent atoms are Ca at (0.000, 0.000, 0.000), Ca at (0.500, 0.500, 0.000), Ac at (0.000, 0.500, 0.500), Tb at (0.500, 0.000, 0.500), S at (0.262, 0.500, 0.248) and S at (0.268, 0.000, 0.762).

[7]
A plane-wave DFT calculation with PBE was carried out for an optimized crystal structure of Ta2HgPb.

The value obtained for the total energy is -6.61 eV per atom. The value obtained for the formation energy is 31 kJ per mole of atoms. The calculated volume is 89.5 Å³/f.u. Its energy above the most stable polymorph in this dataset is 0.0000 eV/atom.

It has space group Cmm2 (No. 35), with a = 3.520 Å, b = 4.985 Å, c = 10.204 Å, α = 90.00°, β = 90.00° and γ = 90.00°. The inequivalent atoms are Ta at (0.000, 0.000, 0.000), Ta at (0.000, 0.500, 0.204), Hg at (0.000, 0.500, 0.767) and Pb at (0.000, 0.000, 0.457).

[8]
A plane-wave DFT calculation with PBE was carried out for an optimized crystal structure of LiAlCd2Pt.

The value obtained for the total energy is -2.07 eV per atom. The value obtained for the formation energy is 61 kJ per mole of atoms. The calculated volume is 113.9 Å³/f.u.

It has space group P4/mmm (No. 123), with a = 4.934 Å, b = 4.934 Å, c = 4.679 Å, α = 90.00°, β = 90.00° and γ = 90.00°. The inequivalent atoms are Li at (0.000, 0.000, 0.000), Al at (0.000, 0.000, 0.500), Cd at (0.000, 0.500, 0.500) and Pt at (0.500, 0.500, 0.000).

[9]
A plane-wave DFT calculation with PBE was carried out for an optimized crystal structure of Os3Ru6W.

The value obtained for the total energy is -9.70 eV per atom. The value obtained for the formation energy is 51 kJ per mole of atoms. The calculated volume is 155.4 Å³/f.u.

It has space group P2_1/c (No. 14), with a = 5.233 Å, b = 7.673 Å, c = 9.328 Å, α = 90.00°, β = 123.89° and γ = 90.00°. The inequivalent atoms are Os at (0.000, 0.000, 0.000), Os at (0.023, 0.121, 0.751), Ru at (0.076, 0.647, 0.075), Ru at (0.421, 0.646, 0.425), Ru at (0.477, 0.123, 0.750) and W at (0.500, 0.000, 0.500).

[10]
A plane-wave DFT calculation with PBE was carried out for an optimized crystal structure of SrTiNiOs2.

The value obtained for the total energy is -5.93 eV per atom. The value obtained for the formation energy is 158 kJ per mole of atoms. The calculated volume is 112.6 Å³/f.u.

It has space group P4/mmm (No. 123), with a = 4.566 Å, b = 4.566 Å, c = 5.401 Å, α = 90.00°, β = 90.00° and γ = 90.00°. The inequivalent atoms are Sr at (0.000, 0.000, 0.000), Ti at (0.000, 0.000, 0.500), Ni at (0.500, 0.500, 0.000) and Os at (0.000, 0.500, 0.500).

[11]
A plane-wave DFT calculation with PBE was carried out for an optimized crystal structure of Fe2AuCl.

The value obtained for the total energy is -4.96 eV per atom. As for the formation energy from raw total energies: 553 meV per atom. The calculated volume is 69.7 Å³/f.u. Its energy above the most stable polymorph in this dataset is 0.4568 eV/atom.

It has space group Pmmm (No. 47), with a = 3.005 Å, b = 4.156 Å, c = 5.580 Å, α = 90.00°, β = 90.00° and γ = 90.00°. The inequivalent atoms are Fe at (0.000, 0.000, 0.000), Fe at (0.500, 0.000, 0.500), Au at (0.000, 0.500, 0.500) and Cl at (0.500, 0.500, 0.000).

[12]
A plane-wave DFT calculation with PBE was carried out for an optimized crystal structure of NaTl3Hg8.

The value obtained for the total energy is -0.97 eV per atom. The value obtained for the formation energy is -6 kJ per mole of atoms. The calculated volume is 331.0 Å³/f.u. Its energy above the most stable polymorph in this dataset is 0.0000 eV/atom.

It has space group Cm (No. 8), with a = 12.274 Å, b = 11.107 Å, c = 5.408 Å, α = 90.00°, β = 116.11° and γ = 90.00°. The inequivalent atoms are Na at (0.000, 0.000, 0.000), Tl at (0.012, 0.239, 0.509), Tl at (0.344, 0.000, 0.345), Hg at (0.015, 0.500, 0.015), Hg at (0.176, 0.246, 0.172), Hg at (0.181, 0.000, 0.681), Hg at (0.183, 0.500, 0.683), Hg at (0.330, 0.500, 0.331) and Hg at (0.343, 0.251, 0.840).